No. 1
! PBE PC, relaxed; values from VASP
! Space-group type ... Pm-3n (223)
! Total magnetic moment ... 0.000 μB/atom
! Excess energy over the best structure of this formula in the dataset ... 594 meV/atom
&SYSTEM
  ibrav = 0, nat = 12, ntyp = 2
/
ATOMIC_SPECIES
C 12.01 C.upf
P 30.97 P.upf
CELL_PARAMETERS angstrom
-3.643 2.719 2.740
-0.300 -3.956 3.526
3.848 2.265 2.869
ATOMIC_POSITIONS angstrom
C 1.013 1.812 2.119
C -2.046 -1.607 4.015
C 2.736 -0.279 3.915
C -1.896 0.370 2.252
P 1.699 -1.834 4.079
C -0.808 3.172 3.490
P -0.859 1.926 2.087
C 0.812 -1.412 2.480
P 1.065 3.058 3.522
P 1.849 0.144 2.316
P -1.061 -1.298 2.448
P -2.882 0.061 3.818


No. 2
! PBE NaCdSi2Pt, relaxed; values from VASP
! Space-group type ... P4/mmm (123)
! Total magnetic moment ... 0.000 μB/atom
! Formation energy without anion corrections ... 0.114 eV/atom
&SYSTEM
  ibrav = 0, nat = 5, ntyp = 4
/
ATOMIC_SPECIES
Na 22.99 Na.upf
Cd 112.41 Cd.upf
Si 28.09 Si.upf
Pt 195.08 Pt.upf
CELL_PARAMETERS angstrom
4.663 0.000 0.000
0.000 5.457 0.000
0.000 0.000 4.663
ATOMIC_POSITIONS angstrom
Na 0.000 2.728 0.000
Cd 2.331 2.728 2.331
Si 0.000 0.000 2.331
Pt 0.000 0.000 0.000
Si 2.331 0.000 0.000